[1]
Material: Ca3N2Cl
Method: DFT, GGA-PBE
State: relaxed

Unit cell a=7.247 b=7.247 c=7.247 alpha=128.93 beta=79.22 gamma=123.96
Sites, in units of the cell vectors:
Ca 0.000 0.243 0.243
Ca 0.000 0.757 0.757
Ca 0.500 0.000 0.000
Ca 0.500 0.243 0.743
Ca 0.500 0.500 0.500
Ca 0.500 0.757 0.257
N 0.304 0.726 0.578
N 0.351 0.274 0.078
N 0.649 0.726 0.922
N 0.696 0.274 0.422
Cl 0.127 0.877 0.250
Cl 0.873 0.123 0.750

Calculated values
Its formation energy from raw total energies is -912 meV per atom. As for the space group: Imma. Its crystal system is orthorhombic. The spin magnetization is 0.8 μB per formula unit.

[2]
Material: Ca4NCl5
Method: DFT, GGA-PBE
State: relaxed

Unit cell a=8.746 b=8.746 c=7.728 alpha=104.17 beta=104.17 gamma=25.63
Sites, in units of the cell vectors:
Ca 0.001 0.001 0.279
Ca 0.351 0.351 0.410
Ca 0.649 0.649 0.590
Ca 0.999 0.999 0.721
N 0.500 0.500 0.500
Cl 0.164 0.164 0.837
Cl 0.169 0.169 0.350
Cl 0.500 0.500 0.000
Cl 0.831 0.831 0.650
Cl 0.836 0.836 0.163

Calculated values
Its formation energy from raw total energies is -2034 meV per atom. As for the space group: C2/m. Its crystal system is monoclinic. The spin magnetization is 0.1 μB per formula unit.

[3]
Material: CaN2Cl
Method: DFT, GGA-PBE
State: relaxed

Unit cell a=4.532 b=4.532 c=4.532 alpha=60.00 beta=60.00 gamma=60.00
Sites, in units of the cell vectors:
Ca 0.000 0.000 0.000
N 0.250 0.250 0.250
N 0.750 0.750 0.750
Cl 0.500 0.500 0.500

Calculated values
Its formation energy from raw total energies is 1152 meV per atom. As for the space group: Fm-3m. Its crystal system is cubic. The calculation puts the offset from the most stable computed form at 46.9 kJ/mol of atoms. The spin magnetization is 5.0 μB per formula unit.

[4]
Material: CaNCl3
Method: DFT, GGA-PBE
State: relaxed

Unit cell a=4.566 b=4.566 c=4.566 alpha=90.00 beta=90.00 gamma=90.00
Sites, in units of the cell vectors:
Ca 0.000 0.000 0.000
N 0.500 0.500 0.500
Cl 0.000 0.500 0.500
Cl 0.500 0.000 0.500
Cl 0.500 0.500 0.000

Calculated values
Its formation energy from raw total energies is -225 meV per atom. As for the space group: Pm-3m. Its crystal system is cubic. The calculation puts the offset from the most stable computed form at 92.6 kJ/mol of atoms. The spin magnetization is 0.0 μB per formula unit.

[5]
Material: Ca3NCl2
Method: DFT, GGA-PBE
State: relaxed

Unit cell a=8.203 b=8.203 c=5.445 alpha=90.00 beta=90.00 gamma=57.88
Sites, in units of the cell vectors:
Ca 0.130 0.870 0.500
Ca 0.207 0.554 0.022
Ca 0.446 0.793 0.022
Ca 0.554 0.207 0.522
Ca 0.793 0.446 0.522
Ca 0.870 0.130 0.000
N 0.153 0.847 0.059
N 0.847 0.153 0.559
Cl 0.127 0.500 0.524
Cl 0.500 0.127 0.024
Cl 0.500 0.873 0.524
Cl 0.873 0.500 0.024

Calculated values
Its formation energy from raw total energies is -1510 meV per atom. As for the space group: Cmc2_1. Its crystal system is orthorhombic. The spin magnetization is 0.0 μB per formula unit.

[6]
Material: Ca2NCl
Method: DFT, GGA-PBE
State: relaxed

Unit cell a=6.335 b=6.335 c=6.335 alpha=117.69 beta=117.69 gamma=94.05
Sites, in units of the cell vectors:
Ca 0.048 0.625 0.923
Ca 0.375 0.298 0.423
Ca 0.702 0.125 0.077
Ca 0.875 0.952 0.577
N 0.000 0.000 0.000
N 0.750 0.250 0.500
Cl 0.250 0.750 0.500
Cl 0.500 0.500 0.000

Calculated values
Its formation energy from raw total energies is -1371 meV per atom. As for the space group: I-42d. Its crystal system is tetragonal. The spin magnetization is 0.0 μB per formula unit.